Entry 1:
# BSbC3 (PBE-GGA, optimized geometry)
# Total moment ... 0.00 μB/f.u.
# Energy above the lowest structure with this stoichiometry ... 6.724 eV/f.u.
# Raw formation energy ... 362.7 kJ per mole of atoms
data_BSbC3
_chemical_formula_sum 'B1 Sb1 C3'
_cell_length_a 4.263
_cell_length_b 4.263
_cell_length_c 4.263
_cell_angle_alpha 90.00
_cell_angle_beta 90.00
_cell_angle_gamma 90.00
_space_group_name_H-M_alt 'P m -3 m'
_space_group_IT_number 221
_space_group_name_Hall '-P 4 2 3'
loop_
_atom_site_label
_atom_site_type_symbol
_atom_site_fract_x
_atom_site_fract_y
_atom_site_fract_z
_atom_site_occupancy
B1 B 0.000 0.000 0.000 1
Sb1 Sb 0.500 0.500 0.500 1
C1 C 0.000 0.500 0.500 1

***

Entry 2:
# AcLaGaSb (PBE-GGA, optimized geometry)
# Total moment ... 0.00 μB/f.u.
# Raw formation energy ... -61.2 kJ per mole of atoms
data_AcLaGaSb
_chemical_formula_sum 'Ac4 La4 Ga4 Sb4'
_cell_length_a 7.909
_cell_length_b 7.909
_cell_length_c 7.909
_cell_angle_alpha 90.00
_cell_angle_beta 90.00
_cell_angle_gamma 90.00
_space_group_name_H-M_alt 'F -4 3 m'
_space_group_IT_number 216
_space_group_name_Hall 'F -4 2 3'
loop_
_atom_site_label
_atom_site_type_symbol
_atom_site_fract_x
_atom_site_fract_y
_atom_site_fract_z
_atom_site_occupancy
Ac1 Ac 0.000 0.000 0.000 1
La1 La 0.000 0.000 0.500 1
Ga1 Ga 0.250 0.250 0.250 1
Sb1 Sb 0.250 0.250 0.750 1

***

Entry 3:
# LiMn2SbN (PBE-GGA, optimized geometry)
# Total moment ... 0.79 μB/f.u.
# Energy above the lowest structure with this stoichiometry ... 11.511 eV/f.u.
# Raw formation energy ... 200.3 kJ per mole of atoms
data_LiMn2SbN
_chemical_formula_sum 'Li1 Mn2 Sb1 N1'
_cell_length_a 4.035
_cell_length_b 4.035
_cell_length_c 4.274
_cell_angle_alpha 90.00
_cell_angle_beta 90.00
_cell_angle_gamma 90.00
_space_group_name_H-M_alt 'P 4/m m m'
_space_group_IT_number 123
_space_group_name_Hall '-P 4 2'
loop_
_atom_site_label
_atom_site_type_symbol
_atom_site_fract_x
_atom_site_fract_y
_atom_site_fract_z
_atom_site_occupancy
Li1 Li 0.000 0.000 0.000 1
Mn1 Mn 0.000 0.500 0.000 1
Sb1 Sb 0.000 0.000 0.500 1
N1 N 0.500 0.500 0.500 1

***

Which formula does entry 2 have? AcLaGaSb

***

Look up the total moment of the third one. 0.79 μB/f.u.

***

Among the records above, which one has the lowest raw formation energy? AcLaGaSb